# 1
! meta-GGA SCAN Ba2TaTc, PBEsol geometry; values from VASP
! crystal system = monoclinic
! E = -44.61 eV per atom
! N(E_F) = 4.29 states/eV/f.u.
! energy relative to the lowest polymorph listed for this composition = 0 meV/atom
! total magnetization = 0.00 μB/f.u.
! space-group type = C2/m
! formation energy from the elements = 573 meV per atom
&SYSTEM
  ibrav = 0, nat = 4, ntyp = 3
/
ATOMIC_SPECIES
Ba 137.33 Ba.upf
Ta 180.95 Ta.upf
Tc 98.00 Tc.upf
CELL_PARAMETERS angstrom
9.579 -1.695 0.000
9.579 1.695 0.000
-0.654 0.000 3.875
ATOMIC_POSITIONS angstrom
Ba 2.787 0.000 0.456
Ba 15.717 0.000 3.419
Ta -0.327 0.000 1.937
Tc 9.579 0.000 0.000

# 2
! meta-GGA SCAN BaTa2Tc, PBEsol geometry; values from VASP
! crystal system = orthorhombic
! E = -50.64 eV per atom
! N(E_F) = 3.70 states/eV/f.u.
! energy relative to the lowest polymorph listed for this composition = 627 meV/atom
! total magnetization = 0.00 μB/f.u.
! space-group type = Cmmm
! formation energy from the elements = 1306 meV per atom
&SYSTEM
  ibrav = 0, nat = 4, ntyp = 3
/
ATOMIC_SPECIES
Ba 137.33 Ba.upf
Ta 180.95 Ta.upf
Tc 98.00 Tc.upf
CELL_PARAMETERS angstrom
2.753 -5.130 0.000
2.753 5.130 0.000
0.000 0.000 2.841
ATOMIC_POSITIONS angstrom
Ba 0.000 0.000 0.000
Ta 1.377 2.565 1.421
Ta 1.377 -2.565 1.421
Tc 2.753 0.000 0.000

# 3
! meta-GGA SCAN BaTa2Te, PBEsol geometry; values from VASP
! crystal system = orthorhombic
! E = -51.77 eV per atom
! N(E_F) = 3.96 states/eV/f.u.
! total magnetization = 0.00 μB/f.u.
! space-group type = Imm2
! E_form (uncorrected) = 0.721 eV/atom
&SYSTEM
  ibrav = 0, nat = 4, ntyp = 3
/
ATOMIC_SPECIES
Ba 137.33 Ba.upf
Ta 180.95 Ta.upf
Te 127.60 Te.upf
CELL_PARAMETERS angstrom
-1.637 2.913 5.365
1.637 -2.913 5.365
1.637 2.913 -5.365
ATOMIC_POSITIONS angstrom
Ba 0.000 0.000 0.000
Ta 1.637 0.000 3.174
Ta 0.000 0.000 5.260
Te 0.000 2.913 2.250

# 4
! meta-GGA SCAN BaTa4Te, PBEsol geometry; values from VASP
! crystal system = cubic
! E = -56.35 eV per atom
! N(E_F) = 5.79 states/eV/f.u.
! total magnetization = 0.00 μB/f.u.
! space-group type = F-43m
! E_form (uncorrected) = 0.838 eV/atom
&SYSTEM
  ibrav = 0, nat = 6, ntyp = 3
/
ATOMIC_SPECIES
Ba 137.33 Ba.upf
Ta 180.95 Ta.upf
Te 127.60 Te.upf
CELL_PARAMETERS angstrom
0.000 4.058 4.058
4.058 0.000 4.058
4.058 4.058 0.000
ATOMIC_POSITIONS angstrom
Ba 0.000 0.000 0.000
Ta 3.006 3.006 3.006
Ta 5.109 5.109 3.006
Ta 5.109 3.006 5.109
Ta 3.006 5.109 5.109
Te 6.086 6.086 6.086